A plane-wave DFT calculation with PBEsol was carried out for a relaxed structure of Li2ZnGeS4.

Its total energy is -4.39 eV per atom. The value obtained for the formation energy without anion corrections is -7.1 eV/f.u. The spin magnetization is 0.00 μB per atom.

a b c (Å): 7.389 6.820 6.218
angles (deg): 90.00 90.00 90.00
Space group Pmn2_1 (No. 31)
Asymmetric unit:
Li: 0.247 0.167 0.000 [4 per cell]
Zn: 0.000 0.353 0.502 [2 per cell]
Ge: 0.000 0.662 0.999 [2 per cell]
S: 0.000 0.359 0.128 [2 per cell]
S: 0.000 0.665 0.642 [2 per cell]
S: 0.244 0.826 0.113 [4 per cell]